# 1
# Mn2Cr2F7 | Alexandria via LeMat-Bulk | GGA+U | relaxed
data_Mn2Cr2F7
_symmetry_space_group_name_H-M 'C 1 2/m 1'
_symmetry_Int_Tables_number 12
_cell_length_a 5.9093
_cell_length_b 9.7362
_cell_length_c 6.9089
_cell_angle_alpha 90.00
_cell_angle_beta 93.72
_cell_angle_gamma 90.00
loop_
_symmetry_equiv_pos_as_xyz
'x,y,z'
'-x,-y,-z'
'-x,y,-z'
'x,-y,z'
'x+1/2,y+1/2,z'
'-x+1/2,-y+1/2,-z'
'-x+1/2,y+1/2,-z'
'x+1/2,-y+1/2,z'
loop_
_atom_site_label
_atom_site_type_symbol
_atom_site_fract_x
_atom_site_fract_y
_atom_site_fract_z
Mn1 Mn 0.0000 0.1785 0.0000
Cr1 Cr 0.2180 0.0000 0.6416
F1 F 0.0000 0.5000 0.5000
F2 F 0.0567 0.0000 0.1955
F3 F 0.1999 0.3236 0.1598
# Final energy, eV/atom: -6.24

# 2
# MnCr2F6 | Alexandria via LeMat-Bulk | GGA+U | relaxed
data_MnCr2F6
_symmetry_space_group_name_H-M 'P -3 1 m'
_symmetry_Int_Tables_number 162
_symmetry_space_group_name_Hall '-P 3 2'
_cell_length_a 5.4889
_cell_length_b 5.4889
_cell_length_c 4.5814
_cell_angle_alpha 90.00
_cell_angle_beta 90.00
_cell_angle_gamma 120.00
loop_
_atom_site_label
_atom_site_type_symbol
_atom_site_fract_x
_atom_site_fract_y
_atom_site_fract_z
Mn1 Mn 0.0000 0.0000 0.0000
Cr1 Cr 0.3333 0.6667 0.5000
F1 F 0.0000 0.3328 0.2608
# Final energy, eV/atom: -6.16

# 3
# MnCrMoF6 | Alexandria via LeMat-Bulk | GGA+U | relaxed
data_MnCrMoF6
_symmetry_space_group_name_H-M 'P -3 1 c'
_symmetry_Int_Tables_number 163
_symmetry_space_group_name_Hall '-P 3 2c'
_cell_length_a 5.7273
_cell_length_b 5.7273
_cell_length_c 9.6767
_cell_angle_alpha 90.00
_cell_angle_beta 90.00
_cell_angle_gamma 120.00
loop_
_atom_site_label
_atom_site_type_symbol
_atom_site_fract_x
_atom_site_fract_y
_atom_site_fract_z
Mn1 Mn 0.3333 0.6667 0.2500
Cr1 Cr 0.0000 0.0000 0.0000
Mo1 Mo 0.3333 0.6667 0.7500
F1 F 0.0061 0.3586 0.6382
# Final energy, eV/atom: -5.99

# 4
# MnCrNF2 | Alexandria via LeMat-Bulk | GGA+U | relaxed
data_MnCrNF2
_symmetry_space_group_name_H-M 'P 4/m m m'
_symmetry_Int_Tables_number 123
_symmetry_space_group_name_Hall '-P 4 2'
_cell_length_a 3.8489
_cell_length_b 3.8489
_cell_length_c 4.1612
_cell_angle_alpha 90.00
_cell_angle_beta 90.00
_cell_angle_gamma 90.00
loop_
_atom_site_label
_atom_site_type_symbol
_atom_site_fract_x
_atom_site_fract_y
_atom_site_fract_z
Mn1 Mn 0.0000 0.0000 0.0000
Cr1 Cr 0.5000 0.5000 0.5000
N1 N 0.5000 0.5000 0.0000
F1 F 0.0000 0.5000 0.5000
# Energy above the most stable polymorph in this dataset, eV per formula unit: 0.000

# 5
# MnCrN2F | Alexandria via LeMat-Bulk | GGA+U | relaxed
data_MnCrN2F
_symmetry_space_group_name_H-M 'P 4/m m m'
_symmetry_Int_Tables_number 123
_symmetry_space_group_name_Hall '-P 4 2'
_cell_length_a 3.8682
_cell_length_b 3.8682
_cell_length_c 3.8901
_cell_angle_alpha 90.00
_cell_angle_beta 90.00
_cell_angle_gamma 90.00
loop_
_atom_site_label
_atom_site_type_symbol
_atom_site_fract_x
_atom_site_fract_y
_atom_site_fract_z
Mn1 Mn 0.0000 0.0000 0.0000
Cr1 Cr 0.5000 0.5000 0.5000
N1 N 0.0000 0.5000 0.0000
F1 F 0.0000 0.0000 0.5000
# Energy above the most stable polymorph in this dataset, eV per formula unit: 1.169

# 6
# MnCrN2F | Alexandria via LeMat-Bulk | GGA+U | relaxed
data_MnCrN2F
_symmetry_space_group_name_H-M 'P 4/m m m'
_symmetry_Int_Tables_number 123
_symmetry_space_group_name_Hall '-P 4 2'
_cell_length_a 3.8844
_cell_length_b 3.8844
_cell_length_c 3.8367
_cell_angle_alpha 90.00
_cell_angle_beta 90.00
_cell_angle_gamma 90.00
loop_
_atom_site_label
_atom_site_type_symbol
_atom_site_fract_x
_atom_site_fract_y
_atom_site_fract_z
Mn1 Mn 0.0000 0.0000 0.0000
Cr1 Cr 0.5000 0.5000 0.5000
N1 N 0.0000 0.5000 0.5000
F1 F 0.5000 0.5000 0.0000
# Energy above the most stable polymorph in this dataset, eV per formula unit: 0.000

# 7
# MnCrNF2 | Alexandria via LeMat-Bulk | GGA+U | relaxed
data_MnCrNF2
_symmetry_space_group_name_H-M 'P 4/m m m'
_symmetry_Int_Tables_number 123
_symmetry_space_group_name_Hall '-P 4 2'
_cell_length_a 3.9930
_cell_length_b 3.9930
_cell_length_c 3.9795
_cell_angle_alpha 90.00
_cell_angle_beta 90.00
_cell_angle_gamma 90.00
loop_
_atom_site_label
_atom_site_type_symbol
_atom_site_fract_x
_atom_site_fract_y
_atom_site_fract_z
Mn1 Mn 0.0000 0.0000 0.0000
Cr1 Cr 0.5000 0.5000 0.5000
N1 N 0.0000 0.0000 0.5000
F1 F 0.0000 0.5000 0.0000
# Energy above the most stable polymorph in this dataset, eV per formula unit: 0.705

# 8
# NaMnCr2F6 | Alexandria via LeMat-Bulk | GGA+U | relaxed
data_NaMnCr2F6
_symmetry_space_group_name_H-M 'P 1'
_symmetry_Int_Tables_number 1
_cell_length_a 5.6798
_cell_length_b 5.7979
_cell_length_c 5.9502
_cell_angle_alpha 91.36
_cell_angle_beta 116.79
_cell_angle_gamma 119.08
loop_
_symmetry_equiv_pos_as_xyz
'x,y,z'
loop_
_atom_site_label
_atom_site_type_symbol
_atom_site_fract_x
_atom_site_fract_y
_atom_site_fract_z
Na1 Na 0.0000 0.0000 0.0000
Mn1 Mn 0.0030 0.5016 0.4934
Cr1 Cr 0.5865 0.7939 0.3696
Cr2 Cr 0.6006 0.3095 0.8876
F1 F 0.0388 0.3864 0.1566
F2 F 0.1715 0.2667 0.6959
F3 F 0.4666 0.8686 0.6462
F4 F 0.5102 0.1458 0.1648
F5 F 0.8017 0.5549 0.7003
F6 F 0.8276 0.7208 0.2287
# Final energy, eV/atom: -5.85

# 9
# NaMnCr2F8 | Alexandria via LeMat-Bulk | GGA+U | relaxed
data_NaMnCr2F8
_symmetry_space_group_name_H-M 'P 1 2/m 1'
_symmetry_Int_Tables_number 10
_cell_length_a 4.8870
_cell_length_b 6.6446
_cell_length_c 4.9057
_cell_angle_alpha 90.00
_cell_angle_beta 91.80
_cell_angle_gamma 90.00
loop_
_symmetry_equiv_pos_as_xyz
'x,y,z'
'-x,-y,-z'
'-x,y,-z'
'x,-y,z'
loop_
_atom_site_label
_atom_site_type_symbol
_atom_site_fract_x
_atom_site_fract_y
_atom_site_fract_z
Na1 Na 0.0000 0.0000 0.0000
Mn1 Mn 0.0000 0.5000 0.0000
Cr1 Cr 0.5000 0.2502 0.5000
F1 F 0.2113 0.2653 0.2103
F2 F 0.3134 0.5000 0.6848
F3 F 0.3251 0.0000 0.6732
# Final energy, eV/atom: -5.92

# 10
# NaMn2CrF8 | Alexandria via LeMat-Bulk | GGA+U | relaxed
data_NaMn2CrF8
_symmetry_space_group_name_H-M 'P 1 2/m 1'
_symmetry_Int_Tables_number 10
_cell_length_a 4.8928
_cell_length_b 6.6789
_cell_length_c 4.9118
_cell_angle_alpha 90.00
_cell_angle_beta 90.28
_cell_angle_gamma 90.00
loop_
_symmetry_equiv_pos_as_xyz
'x,y,z'
'-x,-y,-z'
'-x,y,-z'
'x,-y,z'
loop_
_atom_site_label
_atom_site_type_symbol
_atom_site_fract_x
_atom_site_fract_y
_atom_site_fract_z
Na1 Na 0.0000 0.0000 0.0000
Mn1 Mn 0.5000 0.2477 0.5000
Cr1 Cr 0.0000 0.5000 0.0000
F1 F 0.1958 0.2886 0.1927
F2 F 0.2858 0.5000 0.7114
F3 F 0.3118 0.0000 0.6835
# Final energy, eV/atom: -5.97

# 11
# MnCrOF2 | Alexandria via LeMat-Bulk | GGA+U | relaxed
data_MnCrOF2
_symmetry_space_group_name_H-M 'P 4/m m m'
_symmetry_Int_Tables_number 123
_symmetry_space_group_name_Hall '-P 4 2'
_cell_length_a 4.0387
_cell_length_b 4.0387
_cell_length_c 4.0083
_cell_angle_alpha 90.00
_cell_angle_beta 90.00
_cell_angle_gamma 90.00
loop_
_atom_site_label
_atom_site_type_symbol
_atom_site_fract_x
_atom_site_fract_y
_atom_site_fract_z
Mn1 Mn 0.0000 0.0000 0.0000
Cr1 Cr 0.5000 0.5000 0.5000
O1 O 0.5000 0.5000 0.0000
F1 F 0.0000 0.5000 0.5000
# Energy above the most stable polymorph in this dataset, eV per formula unit: 0.000

# 12
# Mn2CrOF | Alexandria via LeMat-Bulk | GGA+U | relaxed
data_Mn2CrOF
_symmetry_space_group_name_H-M 'P 4/m m m'
_symmetry_Int_Tables_number 123
_symmetry_space_group_name_Hall '-P 4 2'
_cell_length_a 5.4102
_cell_length_b 5.4102
_cell_length_c 3.6345
_cell_angle_alpha 90.00
_cell_angle_beta 90.00
_cell_angle_gamma 90.00
loop_
_atom_site_label
_atom_site_type_symbol
_atom_site_fract_x
_atom_site_fract_y
_atom_site_fract_z
Mn1 Mn 0.0000 0.5000 0.0000
Cr1 Cr 0.0000 0.0000 0.0000
O1 O 0.0000 0.0000 0.5000
F1 F 0.5000 0.5000 0.5000
# Final energy, eV/atom: -5.91

| no. | magnetic moment (μB per cell) |
| --- | --- |
| 1 | 38.00 |
| 2 | 13.00 |
| 3 | 26.00 |
| 4 | 8.00 |
| 5 | 6.08 |
| 6 | 6.04 |
| 7 | 8.00 |
| 8 | 14.00 |
| 9 | 12.00 |
| 10 | 13.00 |
| 11 | 8.86 |
| 12 | 13.67 |